No. 1
A relaxed YTm5Al2 crystal. Source: the Alexandria database, functional PBE-GGA.

- ΔE_f (eV per atom) = -0.11
- density of states at the Fermi level (states/eV/f.u.) = 10.70
- crystal system = orthorhombic
- E_tot (eV/atom) = -4.643

Lattice parameters (Å, degrees): 3.4937 8.1592 8.1592 76.53 77.64 77.64
Closest atoms and distances in Å follow each position.
Sites, in units of the cell vectors:
Y  0.0000  0.0000  0.0000  4 Al 3.45, 2 Y 3.49, 8 Tm 3.69
Tm  0.0000  0.5000  0.5000  2 Al 3.19, 10 Tm 3.33-3.49
Tm  0.6367  0.5888  0.1378  3 Al 3.06-3.24, 5 Tm 3.33-3.37
Tm  0.3633  0.4112  0.8622  3 Al 3.06-3.24, 5 Tm 3.33-3.37
Tm  0.3633  0.8622  0.4112  3 Al 3.06-3.24, 5 Tm 3.33-3.37
Tm  0.6367  0.1378  0.5888  3 Al 3.06-3.24, 5 Tm 3.33-3.37
Al  0.7409  0.7591  0.7591  7 Tm 3.06-3.24
Al  0.2591  0.2409  0.2409  7 Tm 3.06-3.24

=====

No. 2
A relaxed YTm3Al2 crystal. Source: the Alexandria database, functional PBE-GGA.

- ΔE_f (eV per atom) = -0.30
- density of states at the Fermi level (states/eV/f.u.) = 4.68
- crystal system = orthorhombic
- ΔE to the lowest computed polymorph (eV/atom) = 0.0000
- E_tot (eV/atom) = -4.861

Lattice parameters (Å, degrees): 5.0389 6.5207 9.3623 90.00 90.00 90.00
Closest atoms and distances in Å follow each position.
Sites, in units of the cell vectors:
Y  0.5000  0.5305  0.5410  3 Al 3.12-3.16, 2 Y 3.35, 3 Tm 3.41-3.48
Y  0.5000  0.0305  0.4590  3 Al 3.12-3.16, 2 Y 3.35, 3 Tm 3.41-3.48
Tm  0.0000  0.4700  0.9580  3 Al 3.11-3.15, 5 Tm 3.35-3.44
Tm  0.0000  0.9700  0.0420  3 Al 3.11-3.15, 5 Tm 3.35-3.44
Tm  0.5000  0.6829  0.1771  4 Al 3.02-3.11
Tm  0.5000  0.1829  0.8229  4 Al 3.02-3.11
Tm  0.0000  0.3178  0.3181  4 Al 3.07-3.10, 2 Y 3.41
Tm  0.0000  0.8178  0.6819  4 Al 3.07-3.10, 2 Y 3.41
Al  0.5000  0.7079  0.8552  6 Tm 3.02-3.11, 1 Y 3.16
Al  0.5000  0.2079  0.1448  6 Tm 3.02-3.11, 1 Y 3.16
Al  0.0000  0.2908  0.6452  5 Tm 3.07-3.15, 2 Y 3.12
Al  0.0000  0.7908  0.3548  5 Tm 3.07-3.15, 2 Y 3.12

=====

No. 3
A relaxed Y2Tm3Al2 crystal. Source: the Alexandria database, functional PBE-GGA.

- ΔE_f (eV per atom) = -0.22
- density of states at the Fermi level (states/eV/f.u.) = 3.98
- crystal system = triclinic
- ΔE to the lowest computed polymorph (eV/atom) = 0.0000
- E_tot (eV/atom) = -5.052

Lattice parameters (Å, degrees): 5.2334 5.2366 8.3139 108.37 89.93 120.03
Closest atoms and distances in Å follow each position.
Sites, in units of the cell vectors:
Y  0.9173  0.8343  0.2519  4 Al 3.11-3.15, 3 Tm 3.41
Y  0.0827  0.1657  0.7481  4 Al 3.11-3.15, 3 Tm 3.41
Tm  0.5000  0.0000  0.0000  6 Al 3.25-3.26, 2 Tm 3.54, 6 Y 3.59-3.60
Tm  0.6522  0.3043  0.4565  1 Al 3.01, 3 Tm 3.10
Tm  0.3478  0.6957  0.5435  1 Al 3.01, 3 Tm 3.10
Al  0.7818  0.5637  0.8447  4 Tm 3.01-3.26, 4 Y 3.11-3.15
Al  0.2182  0.4363  0.1553  4 Tm 3.01-3.26, 4 Y 3.11-3.15

=====

No. 4
A relaxed Y2TmAl crystal. Source: the Alexandria database, functional PBE-GGA.

- ΔE_f (eV per atom) = -0.19
- density of states at the Fermi level (states/eV/f.u.) = 4.68
- crystal system = tetragonal
- ΔE to the lowest computed polymorph (eV/atom) = 0.0151
- E_tot (eV/atom) = -5.476

Lattice parameters (Å, degrees): 3.5058 3.5058 9.0335 90.00 90.00 90.00
Closest atoms and distances in Å follow each position.
Sites, in units of the cell vectors:
Y  0.0000  0.0000  0.7854  4 Al 3.15, 4 Y 3.51
Y  0.0000  0.0000  0.2146  4 Al 3.15, 4 Y 3.51
Tm  0.5000  0.5000  0.5000  4 Tm 3.51, 8 Y 3.58
Al  0.5000  0.5000  0.0000  8 Y 3.15, 4 Al 3.51

=====

No. 5
A relaxed Y3Tm2Al4 crystal. Source: the Alexandria database, functional PBE-GGA.

- ΔE_f (eV per atom) = -0.35
- density of states at the Fermi level (states/eV/f.u.) = 5.73
- crystal system = trigonal
- E_tot (eV/atom) = -5.162

Lattice parameters (Å, degrees): 5.0954 5.0955 9.6593 89.99 90.00 120.00
Closest atoms and distances in Å follow each position.
Sites, in units of the cell vectors:
Y  0.3332  0.6664  0.5826  4 Al 3.01-3.08, 3 Y 3.35
Y  0.0000  0.0000  0.0000  8 Al 3.09-3.38
Y  0.6668  0.3336  0.4174  4 Al 3.01-3.08, 3 Y 3.35
Tm  0.3335  0.6670  0.2181  7 Al 3.06-3.21
Tm  0.6665  0.3330  0.7819  7 Al 3.06-3.21
Al  0.6668  0.3336  0.0986  4 Tm 3.06-3.16, 4 Y 3.08-3.09
Al  0.9998  0.9996  0.6500  1 Al 2.90, 3 Y 3.01, 3 Tm 3.21
Al  0.0002  0.0004  0.3500  1 Al 2.90, 3 Y 3.01, 3 Tm 3.21
Al  0.3332  0.6664  0.9014  4 Tm 3.06-3.16, 4 Y 3.08-3.09

=====

No. 6
A relaxed Y2TmAl crystal. Source: the Alexandria database, functional PBE-GGA.

- ΔE_f (eV per atom) = -0.17
- density of states at the Fermi level (states/eV/f.u.) = 4.33
- crystal system = orthorhombic
- ΔE to the lowest computed polymorph (eV/atom) = 0.0320
- E_tot (eV/atom) = -5.459

Lattice parameters (Å, degrees): 5.3204 6.0215 6.6905 90.00 90.00 90.00
Closest atoms and distances in Å follow each position.
Sites, in units of the cell vectors:
Y  0.5000  0.1663  0.2455  4 Tm 3.25-3.62, 4 Y 3.29-3.41, 4 Al 3.29-3.48
Y  0.5000  0.1663  0.7545  4 Tm 3.25-3.62, 4 Y 3.29-3.41, 4 Al 3.29-3.48
Y  0.0000  0.8337  0.7455  4 Tm 3.25-3.62, 4 Y 3.29-3.41, 4 Al 3.29-3.48
Y  0.0000  0.8337  0.2545  4 Tm 3.25-3.62, 4 Y 3.29-3.41, 4 Al 3.29-3.48
Tm  0.0000  0.3686  0.5000  4 Al 3.19-3.35, 6 Y 3.25-3.39
Tm  0.5000  0.6314  0.0000  4 Al 3.19-3.35, 6 Y 3.25-3.39
Al  0.5000  0.6613  0.5000  4 Tm 3.19-3.35, 8 Y 3.29-3.48
Al  0.0000  0.3387  0.0000  4 Tm 3.19-3.35, 8 Y 3.29-3.48

=====

Question: What is the E_tot in the second record?
Answer: -4.861 eV/atom